# 1
The following is a PBE-GGA calculation of CuAu2Cl after structural relaxation, from Alexandria via LeMat-Bulk. Values from VASP.

Cell and atoms, written as Quantum ESPRESSO input:
```
&SYSTEM
  ibrav = 0, nat = 4, ntyp = 3
/
ATOMIC_SPECIES
Cl 35.45 Cl.upf
Cu 63.55 Cu.upf
Au 196.97 Au.upf
CELL_PARAMETERS angstrom
0.000 3.273 3.273
3.273 0.000 3.273
3.273 3.273 0.000
ATOMIC_POSITIONS angstrom
Cl 0.000 0.000 0.000
Cu 3.273 3.273 3.273
Au 4.910 4.910 4.910
Au 1.637 1.637 1.637
```

Values from the calculation:
ΔE_f (raw), eV per atom: 0.376
Energy above the most stable polymorph in this dataset, meV/atom: 412

# 2
The following is a PBE-GGA calculation of SrAg2Au10 after structural relaxation, from Alexandria via LeMat-Bulk. Values from VASP.

Cell and atoms, written as Quantum ESPRESSO input:
```
&SYSTEM
  ibrav = 0, nat = 13, ntyp = 3
/
ATOMIC_SPECIES
Au 196.97 Au.upf
Ag 107.87 Ag.upf
Sr 87.62 Sr.upf
CELL_PARAMETERS angstrom
5.613 0.000 0.000
2.806 6.780 0.000
2.806 0.000 6.804
ATOMIC_POSITIONS angstrom
Au 1.403 0.000 3.402
Au 2.806 4.386 2.368
Au 2.806 1.474 1.463
Au 5.613 4.386 4.436
Au 5.613 5.306 1.463
Au 8.419 5.306 5.341
Au 4.210 0.000 3.402
Au 5.613 1.474 5.341
Au 5.613 2.395 2.368
Au 8.419 2.395 4.436
Ag 1.403 3.390 0.000
Ag 4.210 3.390 0.000
Sr 0.000 0.000 0.000
```

Values from the calculation:
Energy, eV/atom: -3.268

# 3
The following is a PBE-GGA calculation of Cs2SmMg3F12 after structural relaxation, from Alexandria via LeMat-Bulk. Values from VASP.

Cell and atoms, written as Quantum ESPRESSO input:
```
&SYSTEM
  ibrav = 0, nat = 18, ntyp = 4
/
ATOMIC_SPECIES
Mg 24.30 Mg.upf
F 19.00 F.upf
Cs 132.91 Cs.upf
Sm 150.36 Sm.upf
CELL_PARAMETERS angstrom
7.668 0.065 0.046
3.844 6.635 0.046
3.844 2.237 6.247
ATOMIC_POSITIONS angstrom
Mg 1.922 3.318 0.023
Mg 3.834 0.033 0.023
Mg 1.922 1.119 3.123
F 11.874 4.468 5.759
F 5.963 6.210 4.404
F 8.344 2.118 4.404
F 5.606 0.819 0.581
F 9.393 2.729 1.935
F 11.874 6.912 2.313
F 3.481 2.026 4.027
F 7.011 4.081 5.797
F 7.011 6.820 1.935
F 9.749 8.119 5.759
F 3.481 4.470 0.581
F 8.344 4.857 0.543
Cs 5.920 3.446 2.444
Cs 9.435 5.492 3.895
Sm 0.000 0.000 0.000
```

Values from the calculation:
ΔE_f (raw), eV per atom: -3.293

Number 1: DOS(E_F) 0.7 states/eV/cell. Number 2: DOS(E_F) 2.9 states/eV/cell. Number 3: DOS(E_F) 18.8 states/eV/cell.